Record 1
Material: La2Sm2C2Br5
Method: DFT, PBE
State: optimized geometry

Output
The space group is No. 12. The total energy comes out at -61.8 eV/cell.

```
La2Sm2C2Br5
1.0
9.7270 -1.9894 0.0000
9.7270 1.9894 0.0000
-2.0055 0.0000 8.1029
La Sm C Br
2 2 2 5
Direct
0.0009 0.0009 0.2959
0.9991 0.9991 0.7041
0.3447 0.3447 0.4022
0.6553 0.6553 0.5978
0.4629 0.4629 0.4773
0.5371 0.5371 0.5227
0.1630 0.1630 0.8587
0.1704 0.1704 0.3404
0.5000 0.5000 0.0000
0.8296 0.8296 0.6596
0.8370 0.8370 0.1413
```

Record 2
Material: Nd4CBr2N
Method: DFT, PBE
State: optimized geometry

Output
The space group is No. 164. The total energy comes out at -49.2 eV/cell.

```
Nd4CBr2N
1.0
3.7684 0.0000 0.0000
-1.8842 3.2635 0.0000
0.0000 0.0000 14.7641
Nd C Br N
4 1 2 1
Direct
0.3333 0.6667 0.0882
0.3333 0.6667 0.4073
0.6667 0.3333 0.5927
0.6667 0.3333 0.9118
0.0000 0.0000 0.5000
0.3333 0.6667 0.7569
0.6667 0.3333 0.2431
0.0000 0.0000 0.0000
```

Record 3
Material: Pr4CBr2N
Method: DFT, PBE
State: optimized geometry

Output
The space group is No. 164. The total energy comes out at -49.1 eV/cell.

```
Pr4CBr2N
1.0
3.7984 0.0000 0.0000
-1.8992 3.2895 0.0000
0.0000 0.0000 14.9068
Pr C Br N
4 1 2 1
Direct
0.3333 0.6667 0.0885
0.3333 0.6667 0.4068
0.6667 0.3333 0.5932
0.6667 0.3333 0.9115
0.0000 0.0000 0.5000
0.3333 0.6667 0.7569
0.6667 0.3333 0.2431
0.0000 0.0000 0.0000
```

Record 4
Material: Rb2PtC4Br2N4
Method: DFT, PBE
State: optimized geometry

Output
The space group is No. 14. The total energy comes out at -168.1 eV/cell.

```
Rb2PtC4Br2N4
1.0
7.2872 0.0000 0.0000
0.0000 9.2550 0.0000
-2.5475 0.0000 8.5493
Rb Pt C Br N
4 2 8 4 8
Direct
0.0044 0.2228 0.3799
0.0044 0.2772 0.8799
0.9956 0.7228 0.1201
0.9956 0.7772 0.6201
0.5000 0.0000 0.0000
0.5000 0.5000 0.5000
0.2976 0.0323 0.1091
0.2976 0.4677 0.6091
0.3086 0.0446 0.7944
0.3086 0.4554 0.2944
0.6914 0.5446 0.7056
0.6914 0.9554 0.2056
0.7024 0.5323 0.3909
0.7024 0.9677 0.8909
0.4075 0.7361 0.9665
0.4075 0.7639 0.4665
0.5925 0.2361 0.5335
0.5925 0.2639 0.0335
0.1755 0.0521 0.1683
0.1755 0.4479 0.6683
0.1916 0.0707 0.6772
0.1916 0.4293 0.1772
0.8084 0.5707 0.8228
0.8084 0.9293 0.3228
0.8245 0.5521 0.3317
0.8245 0.9479 0.8317
```

Record 5
Material: SrSmCBr2N2
Method: DFT, PBE
State: optimized geometry

Output
The space group is No. 8. The total energy comes out at -44.0 eV/cell.

```
SrSmCBr2N2
1.0
4.9795 -2.0278 0.0000
4.9795 2.0278 0.0000
-1.2040 0.0000 7.4375
Sr Sm C Br N
1 1 1 2 2
Direct
0.0000 0.0000 0.0000
0.3644 0.3644 0.5588
0.6787 0.6787 0.7742
0.0571 0.0571 0.4420
0.3099 0.3099 0.1429
0.5620 0.5620 0.8134
0.7947 0.7947 0.7332
```

Record 6
Material: Nd2Sc2CBr5
Method: DFT, PBE
State: optimized geometry

Output
The space group is No. 12. Its energy above the lowest structure with this stoichiometry is 0.000 eV/atom.

```
Nd2Sc2CBr5
1.0
9.2308 -1.8950 0.0000
9.2308 1.8950 0.0000
-1.8638 0.0000 8.2614
Nd Sc C Br
2 2 1 5
Direct
0.0008 0.0008 0.2936
0.9992 0.9992 0.7064
0.3751 0.3751 0.4366
0.6249 0.6249 0.5634
0.5000 0.5000 0.5000
0.1648 0.1648 0.8023
0.1672 0.1672 0.3630
0.5000 0.5000 0.0000
0.8328 0.8328 0.6370
0.8352 0.8352 0.1977
```

Record 7
Material: Nd2Sc2CBr5
Method: DFT, PBE
State: optimized geometry

Output
The space group is No. 12. Its energy above the lowest structure with this stoichiometry is 0.049 eV/atom.

```
Nd2Sc2CBr5
1.0
8.8481 -1.8811 0.0000
8.8481 1.8811 0.0000
-1.9281 0.0000 7.7522
Nd Sc C Br
2 2 1 5
Direct
0.1437 0.1437 0.0772
0.8563 0.8563 0.9228
0.5003 0.5003 0.1898
0.4997 0.4997 0.8102
0.0000 0.0000 0.0000
0.0000 0.0000 0.5000
0.3379 0.3379 0.1961
0.3444 0.3444 0.6394
0.6556 0.6556 0.3606
0.6621 0.6621 0.8039
```

Record 8
Material: NdSmC2Br2
Method: DFT, PBE
State: optimized geometry

Output
The space group is No. 8. The total energy comes out at -37.6 eV/cell.

```
NdSmC2Br2
1.0
3.6457 -1.9659 0.0000
3.6457 1.9659 0.0000
-1.8339 0.0000 10.9123
Nd Sm C Br
1 1 2 2
Direct
0.0000 0.0000 0.0000
0.8101 0.8101 0.2738
0.3206 0.3206 0.1083
0.4910 0.4910 0.1721
0.1958 0.1958 0.4466
0.6147 0.6147 0.8224
```

For each record above, in turn, the calculated magnetization values are 0.0; 0.0; 0.0; 0.0; 1.0; 0.0; 0.0; 0.0 μB/f.u..